[1]
# GGA-PBE MgCdGa, optimized geometry
data_MgCdGa
_chemical_formula_sum 'Mg1 Cd1 Ga1'
_symmetry_space_group_name_H-M 'P 3 m 1'
_symmetry_Int_Tables_number 156
_cell_length_a 4.8361
_cell_length_b 4.8361
_cell_length_c 3.0712
_cell_angle_alpha 90.00
_cell_angle_beta 90.00
_cell_angle_gamma 120.00
loop_
_symmetry_equiv_pos_as_xyz
'x,y,z'
'-y,x-y,z'
'-x+y,-x,z'
'-y,-x,z'
'-x+y,y,z'
'x,x-y,z'
loop_
_atom_site_label
_atom_site_type_symbol
_atom_site_fract_x
_atom_site_fract_y
_atom_site_fract_z
Mg1 Mg 0.0000 0.0000 0.0000
Cd1 Cd 0.3333 0.6667 0.4983
Ga1 Ga 0.6667 0.3333 0.5018
# magnetization	0.00	μB per cell
# E_form	-0.045	eV per atom

---

[2]
# GGA-PBE Mg4Cd2Ga3, optimized geometry
data_Mg4Cd2Ga3
_chemical_formula_sum 'Mg4 Cd2 Ga3'
_symmetry_space_group_name_H-M 'P -1'
_symmetry_Int_Tables_number 2
_cell_length_a 4.351
_cell_length_b 5.281
_cell_length_c 9.141
_cell_angle_alpha 73.33
_cell_angle_beta 89.42
_cell_angle_gamma 66.16
loop_
_symmetry_equiv_pos_as_xyz
'x,y,z'
'-x,-y,-z'
loop_
_atom_site_label
_atom_site_type_symbol
_atom_site_fract_x
_atom_site_fract_y
_atom_site_fract_z
Mg1 Mg 0.014 0.470 0.337
Mg2 Mg 0.338 0.821 0.108
Cd1 Cd 0.323 0.860 0.770
Ga1 Ga 0.000 0.500 0.000
Ga2 Ga 0.342 0.806 0.443
# magnetization	0.00	μB per cell
# E_form	-0.085	eV per atom

---

[3]
# GGA-PBE Mg2Cd8Ga, optimized geometry
data_Mg2Cd8Ga
_chemical_formula_sum 'Mg4 Cd16 Ga2'
_symmetry_space_group_name_H-M 'C 1 2/m 1'
_symmetry_Int_Tables_number 12
_cell_length_a 16.201
_cell_length_b 4.463
_cell_length_c 6.959
_cell_angle_alpha 90.00
_cell_angle_beta 106.36
_cell_angle_gamma 90.00
loop_
_symmetry_equiv_pos_as_xyz
'x,y,z'
'-x,-y,-z'
'-x,y,-z'
'x,-y,z'
'x+1/2,y+1/2,z'
'-x+1/2,-y+1/2,-z'
'-x+1/2,y+1/2,-z'
'x+1/2,-y+1/2,z'
loop_
_atom_site_label
_atom_site_type_symbol
_atom_site_fract_x
_atom_site_fract_y
_atom_site_fract_z
Mg1 Mg 0.226 0.000 0.141
Cd1 Cd 0.044 0.000 0.230
Cd2 Cd 0.093 0.500 0.955
Cd3 Cd 0.139 0.000 0.688
Cd4 Cd 0.180 0.500 0.408
Ga1 Ga 0.000 0.500 0.500
# energy above the most stable polymorph in this dataset	0	meV per atom
# magnetization	0.00	μB per cell
# E_form	-0.020	eV per atom

---

Number 1: total energy -5.7 eV per cell. Number 2: total energy -18.1 eV per cell. Number 3: total energy -27.5 eV per cell.